4
Lattice="4.593 0.000 0.000 0.000 4.013 0.129 0.000 1.807 6.950" Properties=species:S:1:pos:R:3 comment="BaLi2Cd | Alexandria via LeMat-Bulk | PBE | optimized geometry" space_group="Pm (6)" delta_e_f_mev_per_atom=-83 final_energy_ev_per_atom=-1.749 pbc="T T T"
Ba 0.000 3.160 3.790
Li 2.296 1.227 0.920
Li 0.000 3.250 0.299
Cd 2.296 5.106 5.737